# 1
LaTeH2I, optimized geometry, DFT PBE; total magnetization = 0.028 μB/atom; calculated total energy = -3.27 eV per atom; V = 163.8 Å³/f.u.; space group = P4/mmm
1.0
4.362 0.000 0.000
0.000 4.362 0.000
0.000 0.000 8.611
La Te H I
1 1 2 1
direct
0.000 0.000 0.000
0.500 0.500 0.000
0.000 0.500 0.500
0.500 0.000 0.500
0.500 0.500 0.500

=====

# 2
TbGaPb2S5, optimized geometry, DFT PBE; formation energy (no corrections) = -8.987 eV per formula unit; total magnetization = 0.000 μB/atom; calculated total energy = -4.97 eV per atom; V = 224.1 Å³/f.u.; space group = Cmc2_1
1.0
1.964 -8.914 0.000
1.964 8.914 0.000
0.000 0.000 12.801
Tb Ga Pb S
2 2 4 10
direct
0.199 0.801 0.500
0.801 0.199 0.000
0.447 0.553 0.898
0.553 0.447 0.398
0.122 0.878 0.798
0.132 0.868 0.142
0.868 0.132 0.642
0.878 0.122 0.298
0.038 0.962 0.501
0.295 0.705 0.148
0.321 0.679 0.851
0.350 0.650 0.487
0.488 0.512 0.248
0.512 0.488 0.748
0.650 0.350 0.987
0.679 0.321 0.351
0.705 0.295 0.648
0.962 0.038 0.001

=====

# 3
PbCl4, optimized geometry, DFT PBE; formation energy (no corrections) = -1.433 eV per formula unit; total magnetization = 0.382 μB/atom; calculated total energy = -2.51 eV per atom; V = 154.0 Å³/f.u.; space group = Im-3m; distance to the lowest polymorph of the same formula = 327 meV per atom
1.0
-3.376 3.376 3.376
3.376 -3.376 3.376
3.376 3.376 -3.376
Pb Cl
1 4
direct
0.000 0.000 0.000
0.000 0.000 0.500
0.000 0.500 0.000
0.500 0.000 0.000
0.500 0.500 0.500

=====

# 4
Rb2UH4Cl4O4, optimized geometry, DFT PBE; total magnetization = 0.000 μB/atom; calculated total energy = -5.36 eV per atom; V = 318.6 Å³/f.u.; space group = P-1
1.0
7.091 0.000 0.000
-3.543 6.150 0.000
-1.398 -0.939 7.305
Rb U H Cl O
2 1 4 4 4
direct
0.072 0.241 0.242
0.928 0.759 0.758
0.500 0.000 0.500
0.244 0.332 0.833
0.386 0.235 0.920
0.614 0.765 0.080
0.756 0.668 0.167
0.316 0.782 0.163
0.325 0.620 0.639
0.675 0.380 0.361
0.684 0.218 0.837
0.243 0.227 0.916
0.250 0.011 0.501
0.750 0.989 0.499
0.757 0.773 0.084